Entry 1:
A relaxed structure of Ti2TlRe, computed with PBE.

abc: 7.4137 7.4137 5.9421
angles: 51.40 51.40 90.00
Positions (direct):
Re 0.5000 0.5000 0.0000
Ti 0.5783 0.1250 0.2500
Re 0.2500 0.7500 0.5000
Ti 0.3750 0.4217 0.7500
Tl 0.0000 0.0000 0.0000
Ti 0.8750 0.8283 0.7500
Tl 0.7500 0.2500 0.5000
Ti 0.1717 0.6250 0.2500

Output
* space-group type: I-42d, No. 122
* excess energy over the best structure of this formula in the dataset: 665 meV/atom
* magnetic moment: 0.00 μB/cell
* calculated volume: 19.22 Å³ per atom

Entry 2:
A relaxed structure of CrCuRu2, computed with PBE.

abc: 4.4720 4.4720 2.7006
angles: 90.00 90.00 106.01
Positions (direct):
Cu 0.0000 0.5000 0.5000
Cr 0.5000 0.0000 0.5000
Ru 0.0000 0.0000 0.0000
Ru 0.5000 0.5000 0.0000

Output
* DFT total energy: -7.7989 eV per atom
* space-group type: Cmmm, No. 65
* magnetic moment: 0.01 μB/cell
* calculated volume: 12.98 Å³ per atom

Entry 3:
A relaxed structure of ThAgHg, computed with PBE.

abc: 4.8788 4.8788 4.8788
angles: 60.00 60.00 60.00
Positions (direct):
Hg 0.5000 0.5000 0.5000
Ag 0.2500 0.2500 0.2500
Th 0.0000 0.0000 0.0000

Output
* DFT total energy: -3.5528 eV per atom
* space-group type: F-43m, No. 216
* magnetic moment: 0.00 μB/cell
* calculated volume: 27.37 Å³ per atom

Entry 4:
A relaxed structure of Li5ErCd6, computed with PBE.

abc: 4.8439 6.9561 8.3367
angles: 114.66 106.89 90.00
Positions (direct):
Cd 0.5000 0.2782 0.0000
Cd 0.8268 0.5592 0.6535
Er 0.0000 0.0000 0.0000
Cd 0.8268 0.0944 0.6535
Li 0.3407 0.8407 0.6815
Cd 0.1732 0.4408 0.3465
Li 0.6593 0.1593 0.3185
Li 0.6706 0.6706 0.3412
Li 0.0000 0.5000 0.0000
Li 0.3294 0.3294 0.6588
Cd 0.5000 0.7218 0.0000
Cd 0.1732 0.9056 0.3465

Output
* DFT total energy: -1.8678 eV per atom
* space-group type: Immm, No. 71
* magnetic moment: 0.00 μB/cell
* calculated volume: 20.16 Å³ per atom

Entry 5:
A relaxed structure of InCuAuO4, computed with PBE.

abc: 6.1532 6.6489 6.4299
angles: 118.92 90.00 117.56
Last column: magnetic moment on the atom in μB.
Positions (direct):
Au 0.0000 0.5000 0.5000  0.03
In 0.5000 0.0000 0.5000  -0.01
O 0.2364 0.9307 0.2153  0.19
O 0.6943 0.9307 0.2153  0.19
O 0.7339 0.4679 0.6966  0.03
Au 0.5000 0.5000 0.5000  0.03
Cu 0.1179 0.2359 0.8679  0.51
O 0.2661 0.5321 0.3034  0.03
O 0.7339 0.4679 0.2712  0.03
O 0.2661 0.5321 0.7288  0.03
O 0.7636 0.0693 0.7847  0.19
Cu 0.8821 0.7641 0.1321  0.51
O 0.3057 0.0693 0.7847  0.19
In 0.5000 0.0000 0.0000  -0.01

Output
* DFT total energy: -4.8397 eV per atom
* space-group type: Imma, No. 74
* magnetic moment: 2.06 μB/cell
* calculated volume: 13.96 Å³ per atom

Entry 6:
A relaxed structure of AlCdPtO2, computed with PBE.

abc: 3.9664 5.5147 3.9664
angles: 90.00 90.00 90.00
Positions (direct):
O 0.5000 0.0000 0.0000
Al 0.5000 0.5000 0.5000
O 0.0000 0.0000 0.5000
Cd 0.0000 0.0000 0.0000
Pt 0.0000 0.5000 0.0000

Output
* DFT total energy: -3.8021 eV per atom
* space-group type: P4/mmm, No. 123
* magnetic moment: 0.00 μB/cell
* calculated volume: 17.35 Å³ per atom

Entry 7:
A relaxed structure of V2ZnFeCl, computed with PBE.

abc: 4.4370 4.2579 4.4370
angles: 90.00 90.00 90.00
Positions (direct):
V 0.5000 0.0000 0.0000
V 0.0000 0.0000 0.5000
Fe 0.0000 0.0000 0.0000
Zn 0.5000 0.5000 0.5000
Cl 0.0000 0.5000 0.0000

Output
* DFT total energy: -5.0096 eV per atom
* space-group type: P4/mmm, No. 123
* magnetic moment: 0.00 μB/cell
* calculated volume: 16.76 Å³ per atom

Entry 8:
A relaxed structure of Ba2As3Pt4Au, computed with PBE.

abc: 4.6498 4.6498 10.1575
angles: 90.00 90.00 90.00
Positions (direct):
Pt 0.5000 0.5000 0.0000
Ba 0.0000 0.5000 0.7461
Pt 0.0000 0.5000 0.3656
Ba 0.5000 0.0000 0.2539
As 0.0000 0.0000 0.5000
Pt 0.0000 0.0000 0.0000
As 0.0000 0.5000 0.1188
Au 0.5000 0.5000 0.5000
As 0.5000 0.0000 0.8812
Pt 0.5000 0.0000 0.6344

Output
* DFT total energy: -5.1833 eV per atom
* space-group type: P-4m2, No. 115
* magnetic moment: 0.00 μB/cell
* calculated volume: 21.96 Å³ per atom